Density functional theory data (PBE) for crystalline TaSiNiPd at its relaxed geometry.

It has space group F-43m (No. 216), with a = 6.116 Å, b = 6.116 Å, c = 6.116 Å, α = 90.00°, β = 90.00° and γ = 90.00°. Symmetry generates all atoms from Ta at (0.000, 0.000, 0.000), Si at (0.000, 0.000, 0.500), Ni at (0.250, 0.250, 0.750) and Pd at (0.250, 0.250, 0.250).

The calculation puts the calculated density at 10.9 g/cm³. As for the energy relative to the lowest polymorph listed for this composition: 18 meV per atom.



Density functional theory data (PBE) for crystalline LaDyS2 at its relaxed geometry.

It has space group P4/mmm (No. 123), with a = 4.036 Å, b = 4.036 Å, c = 5.703 Å, α = 90.00°, β = 90.00° and γ = 90.00°. Symmetry generates all atoms from La at (0.000, 0.000, 0.000), Dy at (0.500, 0.500, 0.500), S at (0.000, 0.000, 0.500) and S at (0.500, 0.500, 0.000).

The calculation puts the calculated density at 6.5 g/cm³. As for the energy relative to the lowest polymorph listed for this composition: 52 meV per atom.



Density functional theory data (PBE) for crystalline SmDyHo2In2 at its relaxed geometry.

It has space group P-6m2 (No. 187), with a = 5.3961 Å, b = 5.3961 Å, c = 6.7346 Å, α = 90.00°, β = 90.00° and γ = 120.00°. Symmetry generates all atoms from Sm at (0.0000, 0.0000, 0.0000), Dy at (0.6667, 0.3333, 0.5000), Ho at (0.3333, 0.6667, 0.2537), In at (0.0000, 0.0000, 0.5000) and In at (0.6667, 0.3333, 0.0000).

The value obtained for the total energy is -4.340 eV/atom. The calculation puts the calculated density at 8.5 g/cm³.



Density functional theory data (PBE) for crystalline HoErB4N at its relaxed geometry.

It has space group Imm2 (No. 44), with a = 3.237 Å, b = 6.418 Å, c = 7.417 Å, α = 90.00°, β = 90.00° and γ = 90.00°. Symmetry generates all atoms from Ho at (0.000, 0.000, 0.000), Er at (0.000, 0.000, 0.533), B at (0.000, 0.271, 0.267), B at (0.000, 0.361, 0.767) and N at (0.000, 0.500, 0.265).

The value obtained for the total energy is -7.151 eV/atom. The calculation puts the calculated density at 8.4 g/cm³.



Density functional theory data (PBE) for crystalline LiCd2Pd at its relaxed geometry.

It has space group P6_3/mmc (No. 194), with a = 4.3607 Å, b = 4.3607 Å, c = 8.9591 Å, α = 90.00°, β = 90.00° and γ = 120.00°. Symmetry generates all atoms from Li at (0.3333, 0.6667, 0.2500), Cd at (0.3333, 0.6667, 0.5858) and Pd at (0.0000, 0.0000, 0.2500).

The calculation puts the calculated density at 7.6 g/cm³. As for the energy relative to the lowest polymorph listed for this composition: 216 meV per atom.



Density functional theory data (PBE) for crystalline ZnFe2B at its relaxed geometry.

It has space group F-43m (No. 216), with a = 5.487 Å, b = 5.487 Å, c = 5.487 Å, α = 90.00°, β = 90.00° and γ = 90.00°. Symmetry generates all atoms from Zn at (0.000, 0.000, 0.000), Fe at (0.000, 0.000, 0.500), Fe at (0.250, 0.250, 0.750) and B at (0.250, 0.250, 0.250).

The calculation puts the calculated density at 7.6 g/cm³. As for the energy relative to the lowest polymorph listed for this composition: 307 meV per atom.



Density functional theory data (PBE) for crystalline KYFeSe3 at its relaxed geometry.

It has space group Cmcm (No. 63), with a = 4.096 Å, b = 14.821 Å, c = 10.782 Å, α = 90.00°, β = 90.00° and γ = 90.00°. Symmetry generates all atoms from K at (0.000, 0.245, 0.250), Y at (0.000, 0.500, 0.000), Fe at (0.000, 0.033, 0.750), Se at (0.000, 0.127, 0.567) and Se at (0.000, 0.435, 0.750).

The calculation puts the calculated density at 4.3 g/cm³. As for the energy relative to the lowest polymorph listed for this composition: 18 meV per atom.



Density functional theory data (PBE) for crystalline Zr4CoN3 at its relaxed geometry.

It has space group P6_3/mmc (No. 194), with a = 3.2458 Å, b = 3.2458 Å, c = 23.5605 Å, α = 90.00°, β = 90.00° and γ = 120.00°. Symmetry generates all atoms from Zr at (0.0000, 0.0000, 0.1704), Zr at (0.3333, 0.6667, 0.0571), Co at (0.3333, 0.6667, 0.2500), N at (0.0000, 0.0000, 0.0000) and N at (0.3333, 0.6667, 0.6132).

The value obtained for the total energy is -9.523 eV/atom. The calculation puts the calculated density at 7.2 g/cm³.



Density functional theory data (PBE) for crystalline DySiPt at its relaxed geometry.

It has space group P-62m (No. 189), with a = 7.0918 Å, b = 7.0918 Å, c = 3.8949 Å, α = 90.00°, β = 90.00° and γ = 120.00°. Symmetry generates all atoms from Dy at (0.0000, 0.5888, 0.0000), Si at (0.0000, 0.2470, 0.5000), Pt at (0.0000, 0.0000, 0.0000) and Pt at (0.3333, 0.6667, 0.5000).

The value obtained for the total energy is -6.434 eV/atom. The calculation puts the calculated density at 11.3 g/cm³.



Density functional theory data (PBE) for crystalline YTlFeTe3 at its relaxed geometry.

It has space group Cmcm (No. 63), with a = 4.318 Å, b = 15.703 Å, c = 11.367 Å, α = 90.00°, β = 90.00° and γ = 90.00°. Symmetry generates all atoms from Y at (0.000, 0.000, 0.000), Tl at (0.000, 0.244, 0.250), Fe at (0.000, 0.470, 0.750), Te at (0.000, 0.073, 0.750) and Te at (0.000, 0.369, 0.567).

The calculation puts the calculated density at 6.3 g/cm³. As for the energy relative to the lowest polymorph listed for this composition: 19 meV per atom.



Density functional theory data (PBE) for crystalline TbAgGeTeS2 at its relaxed geometry.

It has space group Cmcm (No. 63), with a = 3.967 Å, b = 13.319 Å, c = 11.180 Å, α = 90.00°, β = 90.00° and γ = 90.00°. Symmetry generates all atoms from Tb at (0.000, 0.000, 0.000), Ag at (0.000, 0.482, 0.250), Ge at (0.000, 0.202, 0.750), Te at (0.000, 0.131, 0.250) and S at (0.000, 0.369, 0.071).

The value obtained for the total energy is -4.630 eV/atom. The calculation puts the calculated density at 6.0 g/cm³.



Density functional theory data (PBE) for crystalline NaFeH6Ir at its relaxed geometry.

It has space group F-43m (No. 216), with a = 6.636 Å, b = 6.636 Å, c = 6.636 Å, α = 90.00°, β = 90.00° and γ = 90.00°. Symmetry generates all atoms from Na at (0.000, 0.000, 0.000), Fe at (0.000, 0.000, 0.500), H at (0.003, 0.250, 0.750) and Ir at (0.250, 0.250, 0.250).

The value obtained for the total energy is -4.296 eV/atom. The calculation puts the calculated density at 6.3 g/cm³.



Density functional theory data (PBE) for crystalline TaGaCuAu at its relaxed geometry.

It has space group F-43m (No. 216), with a = 6.369 Å, b = 6.369 Å, c = 6.369 Å, α = 90.00°, β = 90.00° and γ = 90.00°. Symmetry generates all atoms from Ta at (0.000, 0.000, 0.000), Ga at (0.250, 0.250, 0.250), Cu at (0.000, 0.000, 0.500) and Au at (0.250, 0.250, 0.750).

The calculation puts the calculated density at 13.1 g/cm³. As for the energy relative to the lowest polymorph listed for this composition: 0 meV per atom.



Density functional theory data (PBE) for crystalline GdHo2Mg3Pt3 at its relaxed geometry.

It has space group Amm2 (No. 38), with a = 4.069 Å, b = 12.740 Å, c = 7.347 Å, α = 90.00°, β = 90.00° and γ = 90.00°. Symmetry generates all atoms from Gd at (0.000, 0.000, 0.000), Ho at (0.000, 0.205, 0.384), Mg at (0.500, 0.000, 0.344), Mg at (0.500, 0.123, 0.711), Pt at (0.000, 0.000, 0.587) and Pt at (0.500, 0.168, 0.090).

The value obtained for the total energy is -5.033 eV/atom. The calculation puts the calculated density at 10.0 g/cm³.



Density functional theory data (PBE) for crystalline Al2InMo at its relaxed geometry.

It has space group F-43m (No. 216), with a = 6.531 Å, b = 6.531 Å, c = 6.531 Å, α = 90.00°, β = 90.00° and γ = 90.00°. Symmetry generates all atoms from Al at (0.000, 0.000, 0.000), Al at (0.250, 0.250, 0.250), In at (0.000, 0.000, 0.500) and Mo at (0.250, 0.250, 0.750).

The value obtained for the total energy is -4.819 eV/atom. The calculation puts the calculated density at 6.3 g/cm³.



Density functional theory data (PBE) for crystalline NaTaCoTe3 at its relaxed geometry.

It has space group Cmcm (No. 63), with a = 3.705 Å, b = 15.676 Å, c = 10.055 Å, α = 90.00°, β = 90.00° and γ = 90.00°. Symmetry generates all atoms from Na at (0.000, 0.246, 0.250), Ta at (0.000, 0.000, 0.000), Co at (0.000, 0.477, 0.750), Te at (0.000, 0.084, 0.750) and Te at (0.000, 0.371, 0.564).

The value obtained for the total energy is -5.293 eV/atom. The calculation puts the calculated density at 7.3 g/cm³.



Density functional theory data (PBE) for crystalline LiAgHgAu at its relaxed geometry.

It has space group F-43m (No. 216), with a = 6.626 Å, b = 6.626 Å, c = 6.626 Å, α = 90.00°, β = 90.00° and γ = 90.00°. Symmetry generates all atoms from Li at (0.000, 0.000, 0.000), Ag at (0.000, 0.000, 0.500), Hg at (0.250, 0.250, 0.250) and Au at (0.250, 0.250, 0.750).

The calculation puts the calculated density at 11.7 g/cm³. As for the energy relative to the lowest polymorph listed for this composition: 0 meV per atom.



Density functional theory data (PBE) for crystalline HoCuSi2Au at its relaxed geometry.

It has space group I-4m2 (No. 119), with a = 4.078 Å, b = 4.078 Å, c = 10.264 Å, α = 90.00°, β = 90.00° and γ = 90.00°. Symmetry generates all atoms from Ho at (0.000, 0.000, 0.000), Cu at (0.000, 0.500, 0.750), Si at (0.000, 0.000, 0.388) and Au at (0.000, 0.500, 0.250).

The value obtained for the total energy is -5.053 eV/atom. The calculation puts the calculated density at 9.4 g/cm³.



Density functional theory data (PBE) for crystalline Pr2Te4O11 at its relaxed geometry.

It has space group C2/c (No. 15), with a = 12.611 Å, b = 5.202 Å, c = 16.207 Å, α = 90.00°, β = 106.49° and γ = 90.00°. Symmetry generates all atoms from Pr at (0.119, 0.242, 0.038), Te at (0.125, 0.218, 0.367), Te at (0.125, 0.229, 0.707), O at (0.000, 0.366, 0.750), O at (0.027, 0.092, 0.603), O at (0.071, 0.378, 0.452), O at (0.152, 0.439, 0.176), O at (0.206, 0.042, 0.940) and O at (0.248, 0.432, 0.367).

The value obtained for the total energy is -6.306 eV/atom. The calculation puts the calculated density at 6.3 g/cm³.